Record 1
Below is a relaxed structure of TaRe2BiSb, with properties calculated at the PBE-GGA level.

POSCAR file:
```
TaRe2BiSb
1.0
5.0040 0.0000 0.0000
0.0000 5.1793 0.0000
0.0000 0.0000 5.0040
Re Sb Ta Bi
2 1 1 1
Direct
0.5000 0.0000 0.0000
0.0000 0.0000 0.5000
0.5000 0.5000 0.5000
0.0000 0.5000 0.0000
0.0000 0.0000 0.0000
```

- symmetry = P4/mmm
- formation energy from raw total energies (eV per atom) = 2.69

***

Record 2
Below is a relaxed structure of Tb9In3O2, with properties calculated at the PBE-GGA level.

POSCAR file:
```
Tb9In3O2
1.0
6.8529 0.0000 0.0000
-3.4264 5.9348 0.0000
0.0000 0.0000 8.4081
Tb In O
9 3 2
Direct
0.8317 0.6634 0.3315
0.1683 0.8317 0.6685
0.5000 0.0000 0.0000
0.8317 0.1683 0.3315
0.6634 0.8317 0.6685
0.0000 0.5000 0.0000
0.3366 0.1683 0.3315
0.1683 0.3366 0.6685
0.5000 0.5000 0.0000
0.6667 0.3333 0.6675
0.0000 0.0000 0.0000
0.3333 0.6667 0.3325
0.3333 0.6667 0.8416
0.6667 0.3333 0.1584
```

- symmetry = P-3m1
- formation energy from raw total energies (eV per atom) = -1.07

***

Record 3
Below is a relaxed structure of BaMg4Al, with properties calculated at the PBE-GGA level.

POSCAR file:
```
BaMg4Al
1.0
4.6574 0.0000 0.0000
0.0000 8.2817 0.0000
0.0000 0.0000 8.7306
Mg Ba Al
8 2 2
Direct
0.0000 0.0000 0.5000
0.5000 0.2938 0.5641
0.5000 0.9613 0.7500
0.5000 0.7062 0.4359
0.5000 0.2938 0.9359
0.5000 0.0387 0.2500
0.0000 0.0000 0.0000
0.5000 0.7062 0.0641
0.0000 0.6193 0.7500
0.0000 0.3807 0.2500
0.0000 0.2048 0.7500
0.0000 0.7952 0.2500
```

- ΔE to the lowest computed polymorph (eV/atom) = 0.0000
- formation energy from the elements (eV per atom) = -0.067
- symmetry = Pmma

***

Number 1: M_tot 1.761 μB/cell, calculated density 11320 kg/m3. Number 2: M_tot 0.000 μB/cell, calculated density 8774 kg/m3. Number 3: M_tot 0.000 μB/cell, calculated density 2579 kg/m3.